Entry 1:
LiZrNi3 | the Alexandria database | PBE | optimized geometry; distance to the lowest polymorph of the same formula = 0.0 meV/atom; energy of formation = 0.176 eV per atom; electronic total energy = -5.39 eV per atom
1.0
-0.573 3.005 -2.632
1.779 -2.189 -2.886
-3.576 -1.570 -1.014
Zr Ni Li
1 3 1
Direct
0.500 0.500 0.500
0.000 0.500 0.000
0.000 0.000 0.500
0.500 0.000 0.000
0.000 0.000 0.000

Entry 2:
Na2Li2US4 | the Alexandria database | PBE | optimized geometry; electronic total energy = -5.11 eV per atom
1.0
-1.516 -3.686 -0.005
6.504 -2.670 -2.524
-0.259 2.251 7.295
Na Li S U
2 2 4 1
Direct
0.151 0.544 0.302
0.849 0.456 0.698
0.321 0.024 0.642
0.679 0.976 0.358
0.496 0.751 0.992
0.791 0.815 0.581
0.504 0.249 0.008
0.209 0.185 0.419
0.000 0.000 0.000

Entry 3:
SmAgPd2 | the Alexandria database | PBE | optimized geometry; distance to the lowest polymorph of the same formula = 71.4 meV/atom; energy of formation = -0.536 eV per atom; electronic total energy = -5.02 eV per atom
1.0
-1.658 -0.746 -3.088
3.097 -1.156 -1.384
-1.200 -5.606 1.997
Pd Sm Ag
2 1 1
Direct
0.000 0.000 0.737
0.000 0.000 0.263
0.500 0.500 0.000
0.500 0.500 0.500